(1)
# PBE-GGA Tm2MnSi3Ni12, optimized geometry
# final energy	-105.03	eV/f.u.
# density of states at the Fermi level	0.770	states/eV per atom
# density	7.65	Mg/m³
# formation energy without anion corrections	-1.27	eV/f.u.
# size of the total moment	12.018	μB/cell
data_Tm2MnSi3Ni12
_chemical_formula_sum 'Tm6 Mn3 Si9 Ni36'
_cell_length_a 6.0065
_cell_length_b 6.0065
_cell_length_c 24.6339
_cell_angle_alpha 90.00
_cell_angle_beta 90.00
_cell_angle_gamma 120.00
_space_group_name_H-M_alt 'R -3 m'
_space_group_IT_number 166
_space_group_name_Hall '-R 3 2"'
loop_
_atom_site_label
_atom_site_type_symbol
_atom_site_fract_x
_atom_site_fract_y
_atom_site_fract_z
Tm1 Tm 0.0000 0.0000 0.1485
Mn1 Mn 0.0000 0.0000 0.5000
Si1 Si 0.0000 0.5000 0.0000
Ni1 Ni 0.0417 0.5209 0.0966
Ni2 Ni 0.0652 0.5326 0.6219

(2)
# PBE-GGA ZrAgSe, optimized geometry
# final energy	-16.23	eV/f.u.
# energy relative to the lowest polymorph listed for this composition	0.18	eV/f.u.
# density of states at the Fermi level	0.560	states/eV per atom
# density	6.96	Mg/m³
# formation energy without anion corrections	-1.35	eV/f.u.
# size of the total moment	2.645	μB/cell
data_ZrAgSe
_chemical_formula_sum 'Zr4 Ag4 Se4'
_cell_length_a 11.889
_cell_length_b 3.590
_cell_length_c 6.216
_cell_angle_alpha 90.00
_cell_angle_beta 90.00
_cell_angle_gamma 90.00
_space_group_name_H-M_alt 'A m m 2'
_space_group_IT_number 38
_space_group_name_Hall 'A 2 -2'
loop_
_atom_site_label
_atom_site_type_symbol
_atom_site_fract_x
_atom_site_fract_y
_atom_site_fract_z
Zr1 Zr 0.000 0.000 0.000
Zr2 Zr 0.500 0.000 0.332
Ag1 Ag 0.177 0.000 0.334
Se1 Se 0.353 0.000 0.999

Which value of final energy does entry 1 give? -105.03 eV/f.u.